# Ir3ICl

An optimized crystal structure of Ir3ICl (PBE, the Alexandria database).

Lattice parameters (Å, degrees): 4.571 4.571 4.571 90.00 90.00 90.00
Element x y z (fractional)
Ir  0.000  0.000  0.500
Ir  0.000  0.500  0.000
Ir  0.500  0.000  0.000
I  0.500  0.500  0.500
Cl  0.000  0.000  0.000

Properties
Energy relative to the elements, uncorrected   1.83 eV per atom
Final energy   -4.163 eV/atom
Mass density   12.85 Mg/m³
E above lowest polymorph   0 kJ/mol of formula units
Symmetry   Pm-3m
Total magnetization   0.000 μB per atom


# Pm2Cd3Sn

An optimized crystal structure of Pm2Cd3Sn (PBE, the Alexandria database).

Lattice parameters (Å, degrees): 9.911 9.338 6.182 76.38 66.30 37.32
Element x y z (fractional)
Pm  0.247  0.753  0.753
Pm  0.250  0.250  0.250
Pm  0.750  0.750  0.750
Pm  0.753  0.247  0.247
Cd  0.165  0.165  0.835
Cd  0.167  0.669  0.331
Cd  0.331  0.833  0.167
Cd  0.669  0.167  0.833
Cd  0.833  0.331  0.669
Cd  0.835  0.835  0.165
Sn  0.334  0.334  0.666
Sn  0.666  0.666  0.334

Properties
Formation enthalpy at 0 K   -454.0 meV per atom
Final energy   -3.162 eV/atom
Mass density   7.89 Mg/m³
Symmetry   Fmmm
Total magnetization   0.000 μB per atom


# LiAcRh2

An optimized crystal structure of LiAcRh2 (PBE, the Alexandria database).

Lattice parameters (Å, degrees): 3.555 3.555 6.092 90.00 90.00 90.00
Element x y z (fractional)
Li  0.000  0.000  0.000
Ac  0.000  0.000  0.500
Rh  0.500  0.500  0.228
Rh  0.500  0.500  0.772

Properties
Formation enthalpy at 0 K   -207.1 meV per atom
Final energy   -5.388 eV/atom
Mass density   9.49 Mg/m³
E above lowest polymorph   62 kJ/mol of formula units
Symmetry   P4/mmm
Total magnetization   0.000 μB per atom


# AcTb6Y2Tm

An optimized crystal structure of AcTb6Y2Tm (PBE, the Alexandria database).

Lattice parameters (Å, degrees): 8.920 8.920 9.480 92.20 92.20 116.75
Element x y z (fractional)
Ac  0.034  0.966  0.750
Ac  0.966  0.034  0.250
Tb  0.007  0.551  0.682
Tb  0.126  0.756  0.058
Tb  0.244  0.874  0.442
Tb  0.288  0.517  0.886
Tb  0.449  0.993  0.818
Tb  0.483  0.712  0.614
Tb  0.517  0.288  0.386
Tb  0.551  0.007  0.182
Tb  0.712  0.483  0.114
Tb  0.756  0.126  0.558
Tb  0.874  0.244  0.942
Tb  0.993  0.449  0.318
Y  0.207  0.315  0.551
Y  0.315  0.207  0.051
Y  0.685  0.793  0.949
Y  0.793  0.685  0.449
Tm  0.413  0.587  0.250
Tm  0.587  0.413  0.750

Properties
Formation enthalpy at 0 K   131.1 meV per atom
Final energy   -4.798 eV/atom
Mass density   7.55 Mg/m³
Symmetry   C2/c
Total magnetization   0.000 μB per atom


# Ni2IrAu

An optimized crystal structure of Ni2IrAu (PBE, the Alexandria database).

Lattice parameters (Å, degrees): 2.736 4.436 9.023 90.00 90.00 90.00
Element x y z (fractional)
Ni  0.000  0.000  0.000
Ni  0.000  0.500  0.272
Ni  0.500  0.000  0.772
Ni  0.500  0.500  0.500
Ir  0.000  0.000  0.535
Ir  0.500  0.500  0.035
Au  0.000  0.500  0.761
Au  0.500  0.000  0.261

Properties
Formation enthalpy at 0 K   226.0 meV per atom
Final energy   -5.699 eV/atom
Mass density   15.36 Mg/m³
E above lowest polymorph   60 kJ/mol of formula units
Symmetry   Imm2
Total magnetization   0.267 μB per atom


# ZnCl3

An optimized crystal structure of ZnCl3 (PBE, the Alexandria database).

Lattice parameters (Å, degrees): 3.350 6.884 10.857 90.00 90.00 90.00
Element x y z (fractional)
Zn  0.000  0.000  0.000
Zn  0.500  0.500  0.000
Cl  0.000  0.000  0.500
Cl  0.000  0.500  0.150
Cl  0.000  0.500  0.850
Cl  0.500  0.000  0.150
Cl  0.500  0.000  0.850
Cl  0.500  0.500  0.500

Properties
Energy relative to the elements, uncorrected   -0.42 eV per atom
Final energy   -2.119 eV/atom
Mass density   2.28 Mg/m³
Symmetry   Cmmm
Total magnetization   0.239 μB per atom


# Na6MgTl2

An optimized crystal structure of Na6MgTl2 (PBE, the Alexandria database).

Lattice parameters (Å, degrees): 8.909 8.909 8.905 105.47 105.47 24.24
Element x y z (fractional)
Na  0.096  0.096  0.111
Na  0.208  0.208  0.817
Na  0.343  0.343  0.536
Na  0.657  0.657  0.464
Na  0.792  0.792  0.183
Na  0.904  0.904  0.889
Mg  0.000  0.000  0.500
Tl  0.455  0.455  0.217
Tl  0.545  0.545  0.783

Properties
Formation enthalpy at 0 K   -45.2 meV per atom
Final energy   -1.628 eV/atom
Mass density   3.40 Mg/m³
E above lowest polymorph   0 kJ/mol of formula units
Symmetry   C2/m
Total magnetization   0.000 μB per atom


# Na3TbCe2Te6

An optimized crystal structure of Na3TbCe2Te6 (PBE, the Alexandria database).

Lattice parameters (Å, degrees): 7.857 7.857 7.963 99.47 99.47 120.00
Element x y z (fractional)
Na  0.000  0.000  0.000
Na  0.332  0.668  0.000
Na  0.668  0.332  0.000
Tb  0.500  0.500  0.500
Ce  0.166  0.834  0.500
Ce  0.834  0.166  0.500
Te  0.095  0.421  0.263
Te  0.253  0.253  0.737
Te  0.421  0.095  0.263
Te  0.579  0.905  0.737
Te  0.747  0.747  0.263
Te  0.905  0.579  0.737

Properties
Energy relative to the elements, uncorrected   -1.28 eV per atom
Final energy   -4.553 eV/atom
Mass density   5.26 Mg/m³
Symmetry   C2/m
Total magnetization   0.168 μB per atom


# In2SnO

An optimized crystal structure of In2SnO (PBE, the Alexandria database).

Lattice parameters (Å, degrees): 6.987 6.987 6.987 90.00 90.00 90.00
Element x y z (fractional)
In  0.250  0.250  0.250
In  0.250  0.250  0.750
In  0.250  0.750  0.250
In  0.250  0.750  0.750
In  0.750  0.250  0.250
In  0.750  0.250  0.750
In  0.750  0.750  0.250
In  0.750  0.750  0.750
Sn  0.000  0.000  0.000
Sn  0.000  0.500  0.500
Sn  0.500  0.000  0.500
Sn  0.500  0.500  0.000
O  0.000  0.000  0.500
O  0.000  0.500  0.000
O  0.500  0.000  0.000
O  0.500  0.500  0.500

Properties
Energy relative to the elements, uncorrected   0.12 eV per atom
Final energy   -3.489 eV/atom
Mass density   7.09 Mg/m³
E above lowest polymorph   207 kJ/mol of formula units
Symmetry   Fm-3m
Total magnetization   0.000 μB per atom


# Tb10TmTh4

An optimized crystal structure of Tb10TmTh4 (PBE, the Alexandria database).

Lattice parameters (Å, degrees): 8.928 8.928 8.928 114.08 114.08 100.60
Element x y z (fractional)
Tb  0.045  0.937  0.654
Tb  0.063  0.717  0.108
Tb  0.250  0.750  0.500
Tb  0.283  0.391  0.346
Tb  0.391  0.045  0.108
Tb  0.609  0.955  0.892
Tb  0.717  0.609  0.654
Tb  0.750  0.250  0.500
Tb  0.937  0.283  0.892
Tb  0.955  0.063  0.346
Tm  0.000  0.000  0.000
Th  0.164  0.572  0.736
Th  0.428  0.164  0.593
Th  0.572  0.836  0.407
Th  0.836  0.428  0.264

Properties
Formation enthalpy at 0 K   480.3 meV per atom
Final energy   -4.883 eV/atom
Mass density   8.29 Mg/m³
Symmetry   I4/m
Total magnetization   0.000 μB per atom


# TaBi

An optimized crystal structure of TaBi (PBE, the Alexandria database).

Lattice parameters (Å, degrees): 7.083 6.796 5.950 67.13 62.14 50.72
Element x y z (fractional)
Ta  0.041  0.709  0.709
Ta  0.291  0.959  0.959
Ta  0.709  0.041  0.041
Ta  0.959  0.291  0.291
Bi  0.178  0.572  0.178
Bi  0.428  0.822  0.428
Bi  0.572  0.178  0.572
Bi  0.822  0.428  0.822

Properties
Formation enthalpy at 0 K   650.0 meV per atom
Final energy   -7.217 eV/atom
Mass density   13.34 Mg/m³
Symmetry   Fddd
Total magnetization   0.000 μB per atom


# Zr2IrRh

An optimized crystal structure of Zr2IrRh (PBE, the Alexandria database).

Lattice parameters (Å, degrees): 7.225 7.225 5.914 90.00 90.00 90.00
Element x y z (fractional)
Zr  0.249  0.250  0.125
Zr  0.250  0.749  0.375
Zr  0.250  0.751  0.875
Zr  0.251  0.250  0.625
Zr  0.749  0.750  0.625
Zr  0.750  0.249  0.875
Zr  0.750  0.251  0.375
Zr  0.751  0.750  0.125
Ir  0.000  0.000  0.500
Ir  0.000  0.500  0.750
Ir  0.500  0.000  0.250
Ir  0.500  0.500  0.000
Rh  0.000  0.000  0.000
Rh  0.000  0.500  0.250
Rh  0.500  0.000  0.750
Rh  0.500  0.500  0.500

Properties
Formation enthalpy at 0 K   -336.9 meV per atom
Final energy   -8.664 eV/atom
Mass density   10.27 Mg/m³
Symmetry   I-42d
Total magnetization   0.000 μB per atom


- The highest total magnetization belongs to which entry?
  Ni2IrAu